*i*
A geometry-optimized TaTc3Sb structure, computed with PBE.

Computed properties:
The calculated volume is 108.9 Å³/cell. Its total moment is 0.48 μB/atom.

a b c (Å): 4.7754 4.7754 4.7754
angles (deg): 90.00 90.00 90.00
Element x y z (fractional)
Sb: 0.5000 0.5000 0.5000
Tc: 0.0000 0.0000 0.5000
Tc: 0.5000 0.0000 0.0000
Tc: 0.0000 0.5000 0.0000
Ta: 0.0000 0.0000 0.0000

***

*ii*
A geometry-optimized TaTc3Sb structure, computed with PBE.

Computed properties:
The calculated volume is 104.4 Å³/cell. Its total moment is 0.00 μB/atom.

a b c (Å): 4.7092 4.7092 4.7092
angles (deg): 90.00 90.00 90.00
Element x y z (fractional)
Tc: 0.0000 0.5000 0.0000
Tc: 0.0000 0.0000 0.5000
Tc: 0.5000 0.0000 0.0000
Sb: 0.0000 0.0000 0.0000
Ta: 0.5000 0.5000 0.5000

***

Energy relative to the most stable one, in meV per atom: *i* 0; *ii* 218

***

*i*
A geometry-optimized TaSbTe structure, computed with PBE.

Computed properties:
The calculated volume is 77.0 Å³/cell. Its total moment is 0.00 μB/atom.

a b c (Å): 7.3790 7.3792 3.3180
angles (deg): 77.01 77.01 25.99
Element x y z (fractional)
Sb: 0.9676 0.9676 0.0324
Te: 0.7077 0.7077 0.2923
Ta: 0.3247 0.3247 0.6753

***

*ii*
A geometry-optimized TaSbTe structure, computed with PBE.

Computed properties:
The calculated volume is 83.6 Å³/cell. Its total moment is 0.00 μB/atom.

a b c (Å): 3.4518 3.4518 8.1032
angles (deg): 90.00 90.00 120.00
Element x y z (fractional)
Ta: 0.3333 0.6667 0.3421
Sb: 0.0000 0.0000 0.0775
Te: 0.6667 0.3333 0.5804

***

Energy relative to the most stable one, in meV per atom: *i* 100; *ii* 0

***

*i*
A geometry-optimized TaSbTe structure, computed with PBE.

Computed properties:
The calculated volume is 326.1 Å³/cell. Its total moment is 0.00 μB/atom.

a b c (Å): 7.3386 8.4718 5.8857
angles (deg): 116.97 90.00 90.00
Element x y z (fractional)
Ta: 0.1262 0.0035 0.7647
Ta: 0.3738 0.0035 0.2647
Ta: 0.6262 0.9965 0.7353
Ta: 0.8738 0.9965 0.2353
Sb: 0.1279 0.7384 0.2393
Sb: 0.3721 0.7384 0.7393
Sb: 0.6279 0.2616 0.2607
Sb: 0.8721 0.2616 0.7607
Te: 0.6238 0.7413 0.2346
Te: 0.1238 0.2587 0.2654
Te: 0.8762 0.7413 0.7346
Te: 0.3762 0.2587 0.7654

***

*ii*
A geometry-optimized TaSbTe structure, computed with PBE.

Computed properties:
The calculated volume is 69.4 Å³/cell. Its total moment is 0.00 μB/atom.

a b c (Å): 4.8391 4.8391 3.4203
angles (deg): 90.00 90.00 120.00
Element x y z (fractional)
Ta: 0.6667 0.3333 0.5001
Sb: 0.0000 0.0000 0.0000
Te: 0.3333 0.6667 0.4999

***

Energy relative to the most stable one, in meV per atom: *i* 0; *ii* 360

***

*i*
A geometry-optimized TaSb3Te structure, computed with PBE.

Computed properties:
The calculated volume is 154.1 Å³/cell. Its total moment is 0.00 μB/atom.

a b c (Å): 5.3607 5.3607 5.3607
angles (deg): 90.00 90.00 90.00
Element x y z (fractional)
Sb: 0.5000 0.0000 0.0000
Sb: 0.0000 0.5000 0.0000
Sb: 0.0000 0.0000 0.5000
Te: 0.5000 0.5000 0.5000
Ta: 0.0000 0.0000 0.0000

***

*ii*
A geometry-optimized TaSb3Te structure, computed with PBE.

Computed properties:
The calculated volume is 168.4 Å³/cell. Its total moment is 0.00 μB/atom.

a b c (Å): 5.5226 5.5226 5.5226
angles (deg): 90.00 90.00 90.00
Element x y z (fractional)
Te: 0.0000 0.0000 0.0000
Sb: 0.5000 0.0000 0.0000
Sb: 0.0000 0.5000 0.0000
Sb: 0.0000 0.0000 0.5000
Ta: 0.5000 0.5000 0.5000

***

Energy relative to the most stable one, in meV per atom: *i* 0; *ii* 1286

***

*i*
A geometry-optimized YTaSb2Te structure, computed with PBE.

Computed properties:
The calculated volume is 179.8 Å³/cell. Its total moment is 0.08 μB/atom.

a b c (Å): 5.6524 5.6524 5.6272
angles (deg): 90.00 90.00 90.00
Element x y z (fractional)
Y: 0.0000 0.0000 0.0000
Ta: 0.5000 0.5000 0.5000
Sb: 0.5000 0.0000 0.0000
Sb: 0.0000 0.5000 0.0000
Te: 0.0000 0.0000 0.5000

***

*ii*
A geometry-optimized YTaSb2Te structure, computed with PBE.

Computed properties:
The calculated volume is 156.1 Å³/cell. Its total moment is 0.00 μB/atom.

a b c (Å): 5.3456 5.3456 5.4643
angles (deg): 90.00 90.00 90.00
Element x y z (fractional)
Sb: 0.5000 0.0000 0.0000
Sb: 0.0000 0.5000 0.0000
Y: 0.5000 0.5000 0.5000
Ta: 0.0000 0.0000 0.0000
Te: 0.0000 0.0000 0.5000

***

Energy relative to the most stable one, in meV per atom: *i* 1086; *ii* 0

***

*i*
A geometry-optimized TaZnSbTe2 structure, computed with PBE.

Computed properties:
The calculated volume is 133.5 Å³/cell. Its total moment is 0.00 μB/atom.

a b c (Å): 5.1581 5.1581 5.0169
angles (deg): 90.00 90.00 90.00
Element x y z (fractional)
Zn: 0.0000 0.0000 0.0000
Te: 0.5000 0.0000 0.0000
Te: 0.0000 0.5000 0.0000
Sb: 0.0000 0.0000 0.5000
Ta: 0.5000 0.5000 0.5000

***

*ii*
A geometry-optimized TaZnSbTe2 structure, computed with PBE.

Computed properties:
The calculated volume is 159.3 Å³/cell. Its total moment is 0.00 μB/atom.

a b c (Å): 5.3869 5.3869 5.4902
angles (deg): 90.00 90.00 90.00
Element x y z (fractional)
Te: 0.5000 0.0000 0.0000
Te: 0.0000 0.5000 0.0000
Ta: 0.0000 0.0000 0.0000
Sb: 0.0000 0.0000 0.5000
Zn: 0.5000 0.5000 0.5000

***

Energy relative to the most stable one, in meV per atom: *i* 787; *ii* 0

***

*i*
A geometry-optimized TaTlSb2 structure, computed with PBE.

Computed properties:
The calculated volume is 101.6 Å³/cell. Its total moment is 0.00 μB/atom.

a b c (Å): 3.4747 3.4747 8.4181
angles (deg): 90.00 90.00 90.00
Element x y z (fractional)
Sb: 0.0000 0.0000 0.4442
Sb: 0.0000 0.0000 0.0558
Tl: 0.5000 0.5000 0.7500
Ta: 0.5000 0.5000 0.2500

***

*ii*
A geometry-optimized TaTlSb2 structure, computed with PBE.

Computed properties:
The calculated volume is 96.1 Å³/cell. Its total moment is 0.00 μB/atom.

a b c (Å): 5.9423 5.9423 5.9423
angles (deg): 137.08 137.08 62.31
Element x y z (fractional)
Sb: 0.2500 0.7500 0.5000
Sb: 0.0000 0.0000 0.0000
Tl: 0.7500 0.2500 0.5000
Ta: 0.5000 0.5000 0.0000

***

Energy relative to the most stable one, in meV per atom: *i* 0; *ii* 524

***

*i*
A geometry-optimized TaTlSb2 structure, computed with PBE.

Computed properties:
The calculated volume is 99.4 Å³/cell. Its total moment is 0.00 μB/atom.

a b c (Å): 4.9986 3.8329 5.5303
angles (deg): 69.80 90.00 90.00
Element x y z (fractional)
Sb: 0.0000 0.0249 0.0735
Sb: 0.5000 0.4411 0.2418
Tl: 0.5000 0.7193 0.6898
Ta: 0.0000 0.3147 0.4949

***

*ii*
A geometry-optimized TaTlSb2 structure, computed with PBE.

Computed properties:
The calculated volume is 106.0 Å³/cell. Its total moment is 0.00 μB/atom.

a b c (Å): 7.2732 7.2732 7.2732
angles (deg): 155.71 137.79 49.30
Element x y z (fractional)
Sb: 0.5623 0.5623 0.0000
Sb: 0.9377 0.9377 0.0000
Ta: 0.7500 0.2500 0.5000
Tl: 0.2500 0.7500 0.5000

***

*iii*
A geometry-optimized TaTlSb2 structure, computed with PBE.

Computed properties:
The calculated volume is 96.9 Å³/cell. Its total moment is 0.30 μB/atom.

a b c (Å): 5.1559 5.1559 5.1559
angles (deg): 60.00 60.00 60.00
Element x y z (fractional)
Sb: 0.2500 0.2500 0.2500
Sb: 0.7500 0.7500 0.7500
Ta: 0.0000 0.0000 0.0000
Tl: 0.5000 0.5000 0.5000

***

Energy relative to the most stable one, in meV per atom: *i* 60; *ii* 0; *iii* 256

***

*i*
A geometry-optimized Ta3TlSb structure, computed with PBE.

Computed properties:
The calculated volume is 129.4 Å³/cell. Its total moment is 0.00 μB/atom.

a b c (Å): 5.0574 5.0574 5.0574
angles (deg): 90.00 90.00 90.00
Element x y z (fractional)
Tl: 0.5000 0.5000 0.5000
Ta: 0.0000 0.0000 0.5000
Ta: 0.0000 0.5000 0.0000
Ta: 0.5000 0.0000 0.0000
Sb: 0.0000 0.0000 0.0000

***

*ii*
A geometry-optimized Ta3TlSb structure, computed with PBE.

Computed properties:
The calculated volume is 132.2 Å³/cell. Its total moment is 0.00 μB/atom.

a b c (Å): 5.0938 5.0938 5.0938
angles (deg): 90.00 90.00 90.00
Element x y z (fractional)
Ta: 0.5000 0.0000 0.0000
Ta: 0.0000 0.0000 0.5000
Ta: 0.0000 0.5000 0.0000
Tl: 0.0000 0.0000 0.0000
Sb: 0.5000 0.5000 0.5000

***

Energy relative to the most stable one, in meV per atom: *i* 0; *ii* 435

***

*i*
A geometry-optimized Ta2V2Sb structure, computed with PBE.

Computed properties:
The calculated volume is 91.9 Å³/cell. Its total moment is 0.00 μB/atom.

a b c (Å): 3.4214 3.4214 8.2124
angles (deg): 77.98 77.98 90.00
Element x y z (fractional)
V: 0.2500 0.7500 0.5000
V: 0.7500 0.2500 0.5000
Ta: 0.6115 0.6115 0.7771
Ta: 0.3885 0.3885 0.2229
Sb: 0.0000 0.0000 0.0000

***

*ii*
A geometry-optimized Ta2V2Sb structure, computed with PBE.

Computed properties:
The calculated volume is 181.3 Å³/cell. Its total moment is 0.00 μB/atom.

a b c (Å): 7.4698 7.4698 3.2489
angles (deg): 90.00 90.00 90.00
Element x y z (fractional)
V: 0.3091 0.1909 0.5000
V: 0.1909 0.6909 0.5000
V: 0.8091 0.3091 0.5000
V: 0.6909 0.8091 0.5000
Sb: 0.0000 0.0000 0.0000
Sb: 0.5000 0.5000 0.0000
Ta: 0.6186 0.1186 0.0000
Ta: 0.1186 0.3814 0.0000
Ta: 0.8814 0.6186 0.0000
Ta: 0.3814 0.8814 0.0000

***

Energy relative to the most stable one, in meV per atom: *i* 20; *ii* 0

***

*i*
A geometry-optimized Y3TaSb structure, computed with PBE.

Computed properties:
The calculated volume is 159.6 Å³/cell. Its total moment is 0.00 μB/atom.

a b c (Å): 5.4247 5.4247 5.4247
angles (deg): 90.00 90.00 90.00
Element x y z (fractional)
Y: 0.0000 0.5000 0.0000
Y: 0.0000 0.0000 0.5000
Y: 0.5000 0.0000 0.0000
Sb: 0.5000 0.5000 0.5000
Ta: 0.0000 0.0000 0.0000

***

*ii*
A geometry-optimized Y3TaSb structure, computed with PBE.

Computed properties:
The calculated volume is 174.8 Å³/cell. Its total moment is 0.65 μB/atom.

a b c (Å): 5.5912 5.5912 5.5912
angles (deg): 90.00 90.00 90.00
Element x y z (fractional)
Ta: 0.5000 0.5000 0.5000
Sb: 0.0000 0.0000 0.0000
Y: 0.0000 0.5000 0.0000
Y: 0.5000 0.0000 0.0000
Y: 0.0000 0.0000 0.5000

***

Energy relative to the most stable one, in meV per atom: *i* 0; *ii* 314

***

*i*
A geometry-optimized YTa3Sb structure, computed with PBE.

Computed properties:
The calculated volume is 123.6 Å³/cell. Its total moment is 0.00 μB/atom.

a b c (Å): 4.9813 4.9813 4.9813
angles (deg): 90.00 90.00 90.00
Element x y z (fractional)
Sb: 0.5000 0.5000 0.5000
Ta: 0.5000 0.0000 0.0000
Ta: 0.0000 0.5000 0.0000
Ta: 0.0000 0.0000 0.5000
Y: 0.0000 0.0000 0.0000

***

*ii*
A geometry-optimized YTa3Sb structure, computed with PBE.

Computed properties:
The calculated volume is 130.7 Å³/cell. Its total moment is 0.00 μB/atom.

a b c (Å): 5.0753 5.0753 5.0753
angles (deg): 90.00 90.00 90.00
Element x y z (fractional)
Sb: 0.0000 0.0000 0.0000
Ta: 0.0000 0.5000 0.0000
Ta: 0.5000 0.0000 0.0000
Ta: 0.0000 0.0000 0.5000
Y: 0.5000 0.5000 0.5000

***

Energy relative to the most stable one, in meV per atom: *i* 917; *ii* 0